# 1
# KAu2 PBEsol relaxed
data_KAu2
_chemical_formula_sum 'K1 Au2'
_cell_length_a 5.1055
_cell_length_b 5.1055
_cell_length_c 2.8356
_cell_angle_alpha 90.00
_cell_angle_beta 90.00
_cell_angle_gamma 120.00
_space_group_name_H-M_alt 'P 6/m m m'
_space_group_IT_number 191
_space_group_name_Hall '-P 6 2'
loop_
_atom_site_label
_atom_site_type_symbol
_atom_site_fract_x
_atom_site_fract_y
_atom_site_fract_z
K1 K 0.0000 0.0000 0.0000
Au1 Au 0.3333 0.6667 0.5000
# - Energy relative to the elements: -0.034 eV/atom

# 2
# CoTeHN2 PBEsol relaxed
data_CoTeHN2
_chemical_formula_sum 'Co1 Te1 H1 N2'
_cell_length_a 3.461
_cell_length_b 3.461
_cell_length_c 5.333
_cell_angle_alpha 90.00
_cell_angle_beta 90.00
_cell_angle_gamma 90.00
_space_group_name_H-M_alt 'P 4/m m m'
_space_group_IT_number 123
_space_group_name_Hall '-P 4 2'
loop_
_atom_site_label
_atom_site_type_symbol
_atom_site_fract_x
_atom_site_fract_y
_atom_site_fract_z
Co1 Co 0.000 0.000 0.000
Te1 Te 0.000 0.000 0.500
H1 H 0.500 0.500 0.500
N1 N 0.000 0.500 0.000
# - Raw total energy: -26.42 eV/cell

# 3
# MgSbRh PBEsol relaxed
data_MgSbRh
_chemical_formula_sum 'Mg1 Sb1 Rh1'
_cell_length_a 3.2645
_cell_length_b 3.2645
_cell_length_c 6.3702
_cell_angle_alpha 90.00
_cell_angle_beta 90.00
_cell_angle_gamma 120.00
_space_group_name_H-M_alt 'P 3 m 1'
_space_group_IT_number 156
loop_
_space_group_symop_operation_xyz
'x,y,z'
'-y,x-y,z'
'-x+y,-x,z'
'-y,-x,z'
'-x+y,y,z'
'x,x-y,z'
loop_
_atom_site_label
_atom_site_type_symbol
_atom_site_fract_x
_atom_site_fract_y
_atom_site_fract_z
Mg1 Mg 0.0000 0.0000 0.0000
Sb1 Sb 0.6667 0.3333 0.4135
Rh1 Rh 0.3333 0.6667 0.6936
# - Formation energy from raw total energies: -0.261 eV per atom

So what do the calculations give for Fermi-level density of states? Going down the list: 0.218 0.702 0.335 states/eV/atom.